RbTlPb | SCAN | PBEsol geometry

a = 4.946 Å, b = 4.946 Å, c = 9.080 Å
α = 90.00°, β = 90.00°, γ = 90.00°
Element x y z (fractional)
Rb 0.250 0.250 0.162
Rb 0.750 0.750 0.838
Tl 0.250 0.250 0.728
Tl 0.750 0.750 0.272
Pb 0.250 0.750 0.500
Pb 0.750 0.250 0.500

Summary:
**ρ**: 7.4 g/cm3
**Formation enthalpy at 0 K**: -284 meV/atom
**DOS(E_F)**: 1.72 states/eV/cell
**Final energy**: -169.73 eV per formula unit
**Symmetry**: P4/nmm, No. 129

=====

Hf6Al2Pt | SCAN | PBEsol geometry

a = 7.851 Å, b = 7.851 Å, c = 3.302 Å
α = 90.00°, β = 90.00°, γ = 120.00°
Element x y z (fractional)
Hf 0.000 0.269 0.000
Hf 0.000 0.602 0.500
Hf 0.269 0.000 0.000
Hf 0.398 0.398 0.500
Hf 0.602 0.000 0.500
Hf 0.731 0.731 0.000
Al 0.333 0.667 0.000
Al 0.667 0.333 0.000
Pt 0.000 0.000 0.500

Summary:
**ρ**: 12.4 g/cm3
**Formation enthalpy at 0 K**: -546 meV/atom
**DOS(E_F)**: 8.11 states/eV/cell
**Final energy**: -466.65 eV per formula unit
**Symmetry**: P-62m, No. 189

=====

ZrBeW2 | SCAN | PBEsol geometry

a = 2.706 Å, b = 2.706 Å, c = 8.286 Å
α = 90.00°, β = 90.00°, γ = 90.00°
Element x y z (fractional)
Zr 0.000 0.000 0.000
Be 0.000 0.000 0.500
W 0.500 0.500 0.299
W 0.500 0.500 0.701

Summary:
**ρ**: 12.8 g/cm3
**Formation enthalpy at 0 K**: 284 meV/atom
**DOS(E_F)**: 2.23 states/eV/cell
**Final energy**: -173.29 eV per formula unit
**Symmetry**: P4/mmm, No. 123

=====

> The highest DOS(E_F) belongs to which entry?

Hf6Al2Pt

=====

> Which value of final energy does entry 1 give?

-169.73 eV per formula unit